The following is a DFT calculation (PBE-GGA) of CsTiHgBr6 after structural relaxation. Values from VASP.

Structure (Quantum ESPRESSO input):
```
&SYSTEM
  ibrav = 0, nat = 9, ntyp = 4
/
ATOMIC_SPECIES
Br 79.90 Br.upf
Cs 132.91 Cs.upf
Hg 200.59 Hg.upf
Ti 47.87 Ti.upf
CELL_PARAMETERS angstrom
8.920 0.874 -0.847
5.221 7.232 0.843
-0.657 1.129 7.189
ATOMIC_POSITIONS angstrom
Br 2.514 3.593 2.185
Br 3.716 4.982 5.298
Br 5.618 5.437 2.298
Br 6.874 3.275 4.909
Br 3.750 1.468 4.999
Br 5.565 1.852 1.896
Cs 9.058 5.939 3.571
Hg 11.505 8.088 7.174
Ti 4.677 3.437 3.597
```

Its total DFT energy (no corrections) is -28.7 eV per cell. As for the formation energy without anion corrections: -103 kJ per mole of atoms. As for the theoretical density: 3.46 g cm⁻³. Its density of states at the Fermi level is 3.0 states/eV/f.u. Its space group is No. 1.